(1)
Here is a relaxed Li2CaIn3 crystal from the Alexandria database. Energies are from PBE.

Values from the calculation:
Formation energy from the elements (eV per atom): -0.335
Total energy (eV/atom): -2.68

a b c (Å): 3.5976 3.5976 10.4571
angles (deg): 90.00 90.00 90.00
Closest atoms and distances in Å follow each position.
Space group P4/mmm (No. 123)
One atom of each set of equivalent atoms:
Li: 0.0000 0.0000 0.1482 [2 per cell]  8 In 2.97-2.98, 1 Li 3.10
Ca: 0.0000 0.0000 0.5000 [1 per cell]  8 In 3.33, 4 Ca 3.60, 2 Li 3.68
In: 0.5000 0.5000 0.0000 [1 per cell]  8 Li 2.98, 2 In 3.08
In: 0.5000 0.5000 0.2944 [2 per cell]  4 Li 2.97, 1 In 3.08

(2)
Here is a relaxed Li5Mg3Sn2 crystal from the Alexandria database. Energies are from PBE.

Values from the calculation:
Formation energy from the elements (eV per atom): -0.189
Total energy (eV/atom): -2.43

a b c (Å): 7.2793 20.1999 5.8471
angles (deg): 90.00 90.00 90.00
Closest atoms and distances in Å follow each position.
Space group Ibam (No. 72)
One atom of each set of equivalent atoms:
Li: 0.0000 0.0000 0.2500 [4 per cell]  4 Sn 2.89, 2 Li 2.92, 4 Mg 3.15
Li: 0.0000 0.3397 0.2500 [8 per cell]  2 Sn 2.80, 6 Li 2.92-3.05, 2 Mg 3.01
Li: 0.1874 0.2254 0.0000 [8 per cell]  1 Sn 2.82, 4 Li 3.01-3.05, 1 Mg 3.15
Mg: 0.0000 0.5000 0.2500 [4 per cell]  2 Mg 2.92, 4 Sn 2.96, 2 Li 3.24
Mg: 0.1497 0.1274 0.5000 [8 per cell]  3 Sn 2.96-3.11, 6 Li 3.01-3.20
Sn: 0.2418 0.0870 0.0000 [8 per cell]  5 Li 2.80-2.89, 5 Mg 2.96-3.11

Which value of total energy does entry 1 give?
-2.68 eV/atom

Copy entry 2 word for word.
Here is a relaxed Li5Mg3Sn2 crystal from the Alexandria database. Energies are from PBE.

Values from the calculation:
Formation energy from the elements (eV per atom): -0.189
Total energy (eV/atom): -2.43

a b c (Å): 7.2793 20.1999 5.8471
angles (deg): 90.00 90.00 90.00
Closest atoms and distances in Å follow each position.
Space group Ibam (No. 72)
One atom of each set of equivalent atoms:
Li: 0.0000 0.0000 0.2500 [4 per cell]  4 Sn 2.89, 2 Li 2.92, 4 Mg 3.15
Li: 0.0000 0.3397 0.2500 [8 per cell]  2 Sn 2.80, 6 Li 2.92-3.05, 2 Mg 3.01
Li: 0.1874 0.2254 0.0000 [8 per cell]  1 Sn 2.82, 4 Li 3.01-3.05, 1 Mg 3.15
Mg: 0.0000 0.5000 0.2500 [4 per cell]  2 Mg 2.92, 4 Sn 2.96, 2 Li 3.24
Mg: 0.1497 0.1274 0.5000 [8 per cell]  3 Sn 2.96-3.11, 6 Li 3.01-3.20
Sn: 0.2418 0.0870 0.0000 [8 per cell]  5 Li 2.80-2.89, 5 Mg 2.96-3.11

The lowest total energy belongs to which entry?
Li2CaIn3